DFT (PBE) results for a relaxed structure of CoHgOs.

Cell: 2.7985 2.7985 6.7892 Å, 90.00 90.00 120.00°
Space group P3m1 (No. 156)
Unique sites:
Co 0.0000 0.0000 0.0000 x1
Hg 0.6667 0.3333 0.3417 x1
Os 0.3333 0.6667 0.7212 x1

Properties
The density of states at the Fermi level comes out at 1.00 states/eV/atom. Its crystal system is trigonal. As for the magnetic moment: 1.01 μB per cell. For the energy above the most stable polymorph in this dataset, the calculation gives 56 meV per atom.